PaFeGeO6 after structural relaxation. Source: Alexandria, functional PBE with a Hubbard U.

Its crystal system is trigonal. Its total DFT energy (no corrections) is -137.64 eV for the cell shown. The mass density comes out at 7.10 g cm⁻³.

The space group is P-31c (No. 163) and the conventional cell measures 5.2892, 5.2892 and 8.8005 Å, with angles of 90.00, 90.00 and 120.00 degrees. Symmetry generates all atoms from Pa at (0.3333, 0.6667, 0.2500), Fe at (0.0000, 0.0000, 0.0000), Ge at (0.3333, 0.6667, 0.7500) and O at (0.0364, 0.3509, 0.6283).